[1]
A plane-wave DFT calculation with SCAN was carried out for a crystal of Co2Mo relaxed with PBEsol.

extended XYZ file:
```
12
Lattice="5.639 0.000 0.000 0.000 5.639 0.000 0.000 0.000 4.854" Properties=species:S:1:pos:R:3 pbc="T T T"
Co 0.767 2.052 0.000
Co 0.767 3.587 2.427
Co 2.052 0.767 2.427
Co 2.052 4.872 0.000
Co 3.587 0.767 0.000
Co 3.587 4.872 2.427
Co 4.872 2.052 2.427
Co 4.872 3.587 0.000
Mo 0.000 0.000 1.214
Mo 0.000 0.000 3.641
Mo 2.819 2.819 1.214
Mo 2.819 2.819 3.641
```

Calculated values
DFT formation energy = 0.715 eV per atom
E_tot = -22.449 eV per atom
M_tot = 10.250 μB per cell
Space group = I4/mcm

***

[2]
A plane-wave DFT calculation with SCAN was carried out for a crystal of Cs8ZrMo6O24 relaxed with PBEsol.

extended XYZ file:
```
39
Lattice="5.144 -9.702 0.000 5.144 9.702 0.000 -2.614 0.000 7.843" Properties=species:S:1:pos:R:3 pbc="T T T"
Cs 0.380 3.384 4.820
Cs 5.144 6.548 0.000
Cs 0.733 0.000 6.676
Cs 0.380 -3.384 4.820
Cs 7.295 3.384 3.023
Cs 6.941 0.000 1.167
Cs 5.144 -6.548 0.000
Cs 7.295 -3.384 3.023
Zr 3.837 0.000 3.922
Mo 0.442 0.000 2.346
Mo 3.513 2.979 1.690
Mo 4.161 2.979 6.153
Mo 3.513 -2.979 1.690
Mo 4.161 -2.979 6.153
Mo 7.232 0.000 5.497
O 3.128 8.292 5.378
O 1.935 3.325 2.336
O 4.546 8.292 2.465
O 1.235 0.000 0.804
O 0.742 2.792 7.798
O 3.160 4.359 5.760
O 4.514 4.359 2.083
O 1.746 0.000 3.647
O 4.181 1.447 2.453
O 1.935 -3.325 2.336
O 3.493 1.447 5.390
O 0.742 -2.792 7.798
O 6.932 2.792 0.045
O 4.181 -1.447 2.453
O 5.739 3.325 5.508
O 3.493 -1.447 5.390
O 5.929 0.000 4.196
O 3.160 -4.359 5.760
O 4.514 -4.359 2.083
O 6.932 -2.792 0.045
O 6.439 0.000 7.039
O 3.128 -8.292 5.378
O 5.739 -3.325 5.508
O 4.546 -8.292 2.465
```

Calculated values
E_tot = -20.151 eV per atom
E_form (uncorrected) = -2.406 eV per atom
M_tot = 0.409 μB per cell
Space group = C2/m

***

[3]
A plane-wave DFT calculation with SCAN was carried out for a crystal of ZnAg2Au relaxed with PBEsol.

extended XYZ file:
```
4
Lattice="2.902 0.000 0.000 0.000 3.855 0.000 0.000 0.000 5.702" Properties=species:S:1:pos:R:3 pbc="T T T"
Zn 0.000 0.000 0.000
Ag 0.000 0.000 2.851
Ag 1.451 1.928 1.423
Au 1.451 1.928 4.369
```

Calculated values
DFT formation energy = -0.093 eV per atom
E_tot = -36.444 eV per atom
M_tot = 0.000 μB per cell
Space group = Pmm2

***

[4]
A plane-wave DFT calculation with SCAN was carried out for a crystal of TcSbPbI2 relaxed with PBEsol.

extended XYZ file:
```
5
Lattice="5.425 0.000 0.000 0.000 5.425 0.000 0.000 0.000 5.055" Properties=species:S:1:pos:R:3 pbc="T T T"
Tc 0.000 0.000 0.000
Sb 0.000 0.000 2.528
Pb 2.712 2.712 2.528
I 0.000 2.712 0.000
I 2.712 0.000 0.000
```

Calculated values
E_tot = -43.826 eV per atom
E_form (uncorrected) = 0.491 eV per atom
M_tot = 2.062 μB per cell
Space group = P4/mmm